# 1
## Ac12Ru3C5 (PBE)

Data for a geometry-optimized Ac12Ru3C5 structure.

```
Ac12Ru3C5
1.0
-0.031 8.270 -12.040
-12.028 2.742 7.821
11.821 3.095 8.002
Ac Ru C
48 12 20
direct
0.822 0.902 0.031
0.031 0.402 0.822
0.678 0.469 0.598
0.709 0.580 0.178
0.420 0.291 0.322
0.178 0.080 0.709
0.791 0.469 0.371
0.031 0.629 0.709
0.871 0.291 0.469
0.080 0.178 0.209
0.129 0.709 0.531
0.531 0.209 0.129
0.322 0.531 0.402
0.129 0.420 0.098
0.629 0.598 0.920
0.322 0.791 0.420
0.902 0.080 0.871
0.629 0.031 0.209
0.469 0.678 0.098
0.371 0.969 0.791
0.178 0.098 0.969
0.969 0.371 0.291
0.209 0.678 0.080
0.902 0.822 0.531
0.598 0.969 0.678
0.291 0.420 0.822
0.709 0.129 0.031
0.871 0.580 0.902
0.920 0.098 0.629
0.469 0.791 0.871
0.098 0.920 0.129
0.080 0.902 0.371
0.420 0.129 0.598
0.371 0.402 0.080
0.822 0.920 0.291
0.598 0.629 0.420
0.969 0.598 0.178
0.580 0.871 0.402
0.678 0.209 0.580
0.402 0.031 0.322
0.531 0.322 0.902
0.402 0.371 0.580
0.580 0.709 0.678
0.920 0.822 0.791
0.098 0.178 0.469
0.291 0.871 0.969
0.791 0.322 0.920
0.209 0.531 0.629
0.250 0.625 0.875
0.875 0.750 0.125
0.375 0.750 0.625
0.250 0.125 0.375
0.625 0.250 0.375
0.875 0.125 0.250
0.375 0.625 0.250
0.125 0.875 0.750
0.750 0.375 0.125
0.750 0.875 0.625
0.625 0.375 0.750
0.125 0.250 0.875
0.375 0.125 0.750
0.500 0.000 0.000
0.875 0.250 0.625
0.000 0.000 0.500
0.250 0.375 0.625
0.500 0.000 0.500
0.625 0.875 0.250
0.750 0.625 0.375
0.000 0.500 0.500
0.875 0.625 0.750
0.000 0.500 0.000
0.500 0.500 0.500
0.500 0.500 0.000
0.125 0.375 0.250
0.250 0.875 0.125
0.750 0.125 0.875
0.625 0.750 0.875
0.375 0.250 0.125
0.000 0.000 0.000
0.125 0.750 0.375
```



# 2
La2SeCl (PBE, relaxed); formation energy without anion corrections = -1.464 eV per atom; ΔE to the lowest computed polymorph = 0.313 eV/atom
1.0
3.891 0.003 0.000
-1.858 3.419 0.000
0.000 0.000 8.975
Se La Cl
1 2 1
direct
0.500 0.500 0.250
0.000 0.000 0.489
0.000 0.000 0.011
0.500 0.500 0.750



# 3
LiSiNi2 (PBE, relaxed); formation energy without anion corrections = -0.203 eV per atom
1.0
-0.752 2.371 1.708
-0.779 -1.862 2.242
4.644 0.195 1.776
Ni Si Li
2 1 1
direct
0.500 0.500 0.268
0.000 0.000 0.984
0.000 0.000 0.482
0.500 0.500 0.766



Number 1: E -479.68 eV for the cell shown. Number 2: E -21.04 eV for the cell shown. Number 3: E -19.71 eV for the cell shown.